## CsVTe2O6 (GGA+U)

Data for a geometry-optimized CsVTe2O6 structure.

a b c (Å): 8.007 8.007 8.170
angles (deg): 107.80 107.80 104.05
Element x y z (fractional)
Cs1 0.106 0.894 0.750
Cs2 0.894 0.106 0.250
V1 0.212 0.788 0.250
V2 0.788 0.212 0.750
Te1 0.272 0.456 0.851
Te2 0.456 0.272 0.351
Te3 0.544 0.728 0.649
Te4 0.728 0.544 0.149
O1 0.021 0.255 0.716
O2 0.203 0.617 0.022
O3 0.255 0.021 0.216
O4 0.327 0.381 0.482
O5 0.381 0.327 0.982
O6 0.383 0.797 0.478
O7 0.617 0.203 0.522
O8 0.619 0.673 0.018
O9 0.673 0.619 0.518
O10 0.745 0.979 0.784
O11 0.797 0.383 0.978
O12 0.979 0.745 0.284

Output
Calculated total energy   -5.81 eV/atom
Total moment   4.00 μB per cell